[1]
VASP calculation (PBE) on crystalline BaPbO3 at its relaxed geometry.

## Properties
- electronic total energy (eV/atom) = -5.79

a = 6.127 Å, b = 8.676 Å, c = 6.218 Å
α = 90.00°, β = 90.00°, γ = 90.00°
Space group Imma (No. 74)
Symmetry-distinct sites (fractional):
1 Ba 0.000 0.250 0.007
2 Pb 0.000 0.000 0.500
3 O 0.000 0.250 0.571
4 O 0.250 0.041 0.250



[2]
VASP calculation (PBE) on crystalline BeTlCr2 at its relaxed geometry.

## Properties
- formation energy (eV per formula unit) = 2.880
- ΔE to the lowest computed polymorph (eV/atom) = 0.2968
- electronic total energy (eV/atom) = -5.61

a = 3.063 Å, b = 4.700 Å, c = 8.239 Å
α = 90.00°, β = 90.00°, γ = 90.00°
Space group Cmm2 (No. 35)
Symmetry-distinct sites (fractional):
1 Be 0.000 0.000 0.000
2 Tl 0.000 0.500 0.286
3 Cr 0.000 0.000 0.587
4 Cr 0.000 0.500 0.789



[3]
VASP calculation (PBE) on crystalline Rb2SiPdBr6 at its relaxed geometry.

## Properties
- electronic total energy (eV/atom) = -3.17

a = 10.603 Å, b = 10.603 Å, c = 10.603 Å
α = 90.00°, β = 90.00°, γ = 90.00°
Space group Fm-3m (No. 225)
Symmetry-distinct sites (fractional):
1 Rb 0.250 0.250 0.250
2 Si 0.000 0.000 0.000
3 Pd 0.000 0.000 0.500
4 Br 0.000 0.000 0.243



[4]
VASP calculation (PBE) on crystalline TiPSe2N at its relaxed geometry.

## Properties
- ΔE to the lowest computed polymorph (eV/atom) = 0.0000
- electronic total energy (eV/atom) = -5.42

a = 5.075 Å, b = 5.075 Å, c = 3.690 Å
α = 90.00°, β = 90.00°, γ = 90.00°
Space group P4/mmm (No. 123)
Symmetry-distinct sites (fractional):
1 Ti 0.000 0.000 0.000
2 P 0.500 0.500 0.500
3 Se 0.000 0.500 0.000
4 N 0.000 0.000 0.500